Density functional theory data (PBE-GGA) for a relaxed AgS5Cl crystal.

Cell lengths 9.6971, 9.6971, 6.9856 Å; angles 103.92, 103.92, 123.92 degrees
Closest atoms and distances in Å follow each position.
Fractional positions:
Ag: 0.0000 0.0000 0.0000  2 Cl 2.37
Ag: 0.0000 0.0000 0.5000  2 Cl 2.37
S: 0.1791 0.5614 0.8491  2 S 2.03-2.10
S: 0.2494 0.5066 0.1005  2 S 2.03-2.13
S: 0.3853 0.6147 0.7500  2 S 2.10
S: 0.4386 0.8209 0.6509  2 S 2.03-2.10
S: 0.4934 0.7506 0.3995  2 S 2.03-2.13
S: 0.5066 0.2494 0.6005  2 S 2.03-2.13
S: 0.5614 0.1791 0.3491  2 S 2.03-2.10
S: 0.6147 0.3853 0.2500  2 S 2.10
S: 0.7506 0.4934 0.8995  2 S 2.03-2.13
S: 0.8209 0.4386 0.1509  2 S 2.03-2.10
Cl: 0.0934 0.9066 0.7500  2 Ag 2.37
Cl: 0.9066 0.0934 0.2500  2 Ag 2.37

- DOS(E_F): 0.000 states/eV per atom
- Uncorrected energy: -3.633 eV per atom
- Raw formation energy: -0.014 eV per atom
- Symmetry: C2/c (15)

---

Density functional theory data (PBE-GGA) for a relaxed Ag8SCl6 crystal.

Cell lengths 7.0252, 7.0252, 7.0252 Å; angles 99.57, 99.57, 99.57 degrees
Closest atoms and distances in Å follow each position.
Fractional positions:
Ag: 0.1564 0.1564 0.1564  3 Cl 2.58
Ag: 0.1877 0.5823 0.3048  1 S 2.59, 3 Cl 2.70-2.86
Ag: 0.3048 0.1877 0.5823  1 S 2.59, 3 Cl 2.70-2.86
Ag: 0.4177 0.6952 0.8123  1 S 2.59, 3 Cl 2.70-2.86
Ag: 0.5823 0.3048 0.1877  1 S 2.59, 3 Cl 2.70-2.86
Ag: 0.6952 0.8123 0.4177  1 S 2.59, 3 Cl 2.70-2.86
Ag: 0.8123 0.4177 0.6952  1 S 2.59, 3 Cl 2.70-2.86
Ag: 0.8436 0.8436 0.8436  3 Cl 2.58
S: 0.5000 0.5000 0.5000  6 Ag 2.59
Cl: 0.1104 0.8387 0.6311  4 Ag 2.58-2.86
Cl: 0.1613 0.3689 0.8896  4 Ag 2.58-2.86
Cl: 0.3689 0.8896 0.1613  4 Ag 2.58-2.86
Cl: 0.6311 0.1104 0.8387  4 Ag 2.58-2.86
Cl: 0.8387 0.6311 0.1104  4 Ag 2.58-2.86
Cl: 0.8896 0.1613 0.3689  4 Ag 2.58-2.86

- DOS(E_F): 0.044 states/eV per atom
- Uncorrected energy: -2.846 eV per atom
- Raw formation energy: -0.311 eV per atom
- Symmetry: R-3 (148)

---

Density functional theory data (PBE-GGA) for a relaxed Ag4S2Cl3 crystal.

Cell lengths 8.6108, 8.6108, 7.2867 Å; angles 92.84, 92.84, 49.93 degrees
Closest atoms and distances in Å follow each position.
Fractional positions:
Ag: 0.1720 0.7165 0.9572  1 S 2.52, 3 Cl 2.65-2.74
Ag: 0.1785 0.4508 0.3944  2 S 2.50-2.52, 1 Cl 2.58
Ag: 0.2835 0.8280 0.5428  1 S 2.52, 3 Cl 2.65-2.74
Ag: 0.4508 0.1785 0.8944  2 S 2.50-2.52, 1 Cl 2.58
Ag: 0.5492 0.8215 0.1056  2 S 2.50-2.52, 1 Cl 2.58
Ag: 0.7165 0.1720 0.4572  1 S 2.52, 3 Cl 2.65-2.74
Ag: 0.8215 0.5492 0.6056  2 S 2.50-2.52, 1 Cl 2.58
Ag: 0.8280 0.2835 0.0428  1 S 2.52, 3 Cl 2.65-2.74
S: 0.1303 0.4678 0.0532  1 S 2.05
S: 0.4678 0.1303 0.5532  1 S 2.05
S: 0.5322 0.8697 0.4468  1 S 2.05
S: 0.8697 0.5322 0.9468  1 S 2.05
Cl: 0.0249 0.7682 0.6032  3 Ag 2.58-2.74
Cl: 0.2318 0.9751 0.8968  3 Ag 2.58-2.74
Cl: 0.4217 0.5783 0.2500  2 Ag 2.66
Cl: 0.5783 0.4217 0.7500  2 Ag 2.66
Cl: 0.7682 0.0249 0.1032  3 Ag 2.58-2.74
Cl: 0.9751 0.2318 0.3968  3 Ag 2.58-2.74

- DOS(E_F): 0.490 states/eV per atom
- Uncorrected energy: -3.050 eV per atom
- Raw formation energy: -0.250 eV per atom
- Symmetry: C2/c (15)

---

Density functional theory data (PBE-GGA) for a relaxed AgS2Cl crystal.

Cell lengths 4.6666, 4.6666, 4.6666 Å; angles 60.00, 60.00, 60.00 degrees
Closest atoms and distances in Å follow each position.
Fractional positions:
Ag: 0.0000 0.0000 0.0000  8 S 2.86
S: 0.2500 0.2500 0.2500  4 Cl 2.86, 4 Ag 2.86
S: 0.7500 0.7500 0.7500  4 Cl 2.86, 4 Ag 2.86
Cl: 0.5000 0.5000 0.5000  8 S 2.86

- DOS(E_F): 0.937 states/eV per atom
- Excess energy over the best structure of this formula in the dataset: 1009 meV/atom
- Uncorrected energy: -2.411 eV per atom
- Raw formation energy: 0.827 eV per atom
- Symmetry: Fm-3m (225)

---

Density functional theory data (PBE-GGA) for a relaxed Ag12S3Cl5 crystal.

Cell lengths 13.4323, 13.4323, 13.4323 Å; angles 109.47, 109.47, 109.47 degrees
Closest atoms and distances in Å follow each position.
Fractional positions:
Ag: 0.0636 0.6343 0.3930  1 S 2.55, 2 Cl 2.63-2.75, 1 Ag 2.77
Ag: 0.0636 0.9294 0.6707  1 S 2.55, 2 Cl 2.63-2.75, 1 Ag 2.77
Ag: 0.0706 0.2413 0.1343  1 S 2.55, 2 Cl 2.63-2.75, 1 Ag 2.77
Ag: 0.0706 0.3293 0.9364  1 S 2.55, 2 Cl 2.63-2.75, 1 Ag 2.77
Ag: 0.1070 0.7413 0.6707  1 S 2.55, 2 Cl 2.63-2.75, 1 Ag 2.77
Ag: 0.1070 0.8657 0.4364  1 S 2.55, 2 Cl 2.63-2.75, 1 Ag 2.77
Ag: 0.1343 0.0706 0.2413  1 S 2.55, 2 Cl 2.63-2.75, 1 Ag 2.77
Ag: 0.1343 0.5636 0.8930  1 S 2.55, 2 Cl 2.63-2.75, 1 Ag 2.77
Ag: 0.1707 0.2413 0.6070  1 S 2.55, 2 Cl 2.63-2.75, 1 Ag 2.77
Ag: 0.1707 0.4294 0.5636  1 S 2.55, 2 Cl 2.63-2.75, 1 Ag 2.77
Ag: 0.2413 0.1343 0.0706  1 S 2.55, 2 Cl 2.63-2.75, 1 Ag 2.77
Ag: 0.2413 0.6070 0.1707  1 S 2.55, 2 Cl 2.63-2.75, 1 Ag 2.77
Ag: 0.2587 0.3293 0.8930  1 S 2.55, 2 Cl 2.63-2.75, 1 Ag 2.77
Ag: 0.2587 0.4294 0.3657  1 S 2.55, 2 Cl 2.63-2.75, 1 Ag 2.77
Ag: 0.3293 0.8930 0.2587  1 S 2.55, 2 Cl 2.63-2.75, 1 Ag 2.77
Ag: 0.3293 0.9364 0.0706  1 S 2.55, 2 Cl 2.63-2.75, 1 Ag 2.77
Ag: 0.3657 0.2587 0.4294  1 S 2.55, 2 Cl 2.63-2.75, 1 Ag 2.77
Ag: 0.3657 0.6070 0.9364  1 S 2.55, 2 Cl 2.63-2.75, 1 Ag 2.77
Ag: 0.3930 0.0636 0.6343  1 S 2.55, 2 Cl 2.63-2.75, 1 Ag 2.77
Ag: 0.3930 0.8293 0.7587  1 S 2.55, 2 Cl 2.63-2.75, 1 Ag 2.77
Ag: 0.4294 0.3657 0.2587  1 S 2.55, 2 Cl 2.63-2.75, 1 Ag 2.77
Ag: 0.4294 0.5636 0.1707  1 S 2.55, 2 Cl 2.63-2.75, 1 Ag 2.77
Ag: 0.4364 0.1070 0.8657  1 S 2.55, 2 Cl 2.63-2.75, 1 Ag 2.77
Ag: 0.4364 0.8293 0.5706  1 S 2.55, 2 Cl 2.63-2.75, 1 Ag 2.77
Ag: 0.5636 0.1707 0.4294  1 S 2.55, 2 Cl 2.63-2.75, 1 Ag 2.77
Ag: 0.5636 0.8930 0.1343  1 S 2.55, 2 Cl 2.63-2.75, 1 Ag 2.77
Ag: 0.5706 0.4364 0.8293  1 S 2.55, 2 Cl 2.63-2.75, 1 Ag 2.77
Ag: 0.5706 0.6343 0.7413  1 S 2.55, 2 Cl 2.63-2.75, 1 Ag 2.77
Ag: 0.6070 0.1707 0.2413  1 S 2.55, 2 Cl 2.63-2.75, 1 Ag 2.77
Ag: 0.6070 0.9364 0.3657  1 S 2.55, 2 Cl 2.63-2.75, 1 Ag 2.77
Ag: 0.6343 0.3930 0.0636  1 S 2.55, 2 Cl 2.63-2.75, 1 Ag 2.77
Ag: 0.6343 0.7413 0.5706  1 S 2.55, 2 Cl 2.63-2.75, 1 Ag 2.77
Ag: 0.6707 0.0636 0.9294  1 S 2.55, 2 Cl 2.63-2.75, 1 Ag 2.77
Ag: 0.6707 0.1070 0.7413  1 S 2.55, 2 Cl 2.63-2.75, 1 Ag 2.77
Ag: 0.7413 0.5706 0.6343  1 S 2.55, 2 Cl 2.63-2.75, 1 Ag 2.77
Ag: 0.7413 0.6707 0.1070  1 S 2.55, 2 Cl 2.63-2.75, 1 Ag 2.77
Ag: 0.7587 0.3930 0.8293  1 S 2.55, 2 Cl 2.63-2.75, 1 Ag 2.77
Ag: 0.7587 0.8657 0.9294  1 S 2.55, 2 Cl 2.63-2.75, 1 Ag 2.77
Ag: 0.8293 0.5706 0.4364  1 S 2.55, 2 Cl 2.63-2.75, 1 Ag 2.77
Ag: 0.8293 0.7587 0.3930  1 S 2.55, 2 Cl 2.63-2.75, 1 Ag 2.77
Ag: 0.8657 0.4364 0.1070  1 S 2.55, 2 Cl 2.63-2.75, 1 Ag 2.77
Ag: 0.8657 0.9294 0.7587  1 S 2.55, 2 Cl 2.63-2.75, 1 Ag 2.77
Ag: 0.8930 0.1343 0.5636  1 S 2.55, 2 Cl 2.63-2.75, 1 Ag 2.77
Ag: 0.8930 0.2587 0.3293  1 S 2.55, 2 Cl 2.63-2.75, 1 Ag 2.77
Ag: 0.9294 0.6707 0.0636  1 S 2.55, 2 Cl 2.63-2.75, 1 Ag 2.77
Ag: 0.9294 0.7587 0.8657  1 S 2.55, 2 Cl 2.63-2.75, 1 Ag 2.77
Ag: 0.9364 0.0706 0.3293  1 S 2.55, 2 Cl 2.63-2.75, 1 Ag 2.77
Ag: 0.9364 0.3657 0.6070  1 S 2.55, 2 Cl 2.63-2.75, 1 Ag 2.77
S: 0.1250 0.2500 0.3750  4 Ag 2.55
S: 0.1250 0.3750 0.7500  4 Ag 2.55
S: 0.2500 0.3750 0.1250  4 Ag 2.55
S: 0.2500 0.8750 0.6250  4 Ag 2.55
S: 0.3750 0.1250 0.2500  4 Ag 2.55
S: 0.3750 0.7500 0.1250  4 Ag 2.55
S: 0.6250 0.2500 0.8750  4 Ag 2.55
S: 0.6250 0.8750 0.7500  4 Ag 2.55
S: 0.7500 0.1250 0.3750  4 Ag 2.55
S: 0.7500 0.6250 0.8750  4 Ag 2.55
S: 0.8750 0.6250 0.2500  4 Ag 2.55
S: 0.8750 0.7500 0.6250  4 Ag 2.55
Cl: 0.0000 0.0000 0.0000  6 Ag 2.75
Cl: 0.0000 0.0000 0.5000  6 Ag 2.75
Cl: 0.0000 0.5000 0.0000  6 Ag 2.75
Cl: 0.0000 0.5000 0.5000  6 Ag 2.75
Cl: 0.1250 0.7500 0.8750  4 Ag 2.63
Cl: 0.1250 0.8750 0.2500  4 Ag 2.63
Cl: 0.2500 0.1250 0.8750  4 Ag 2.63
Cl: 0.2500 0.6250 0.3750  4 Ag 2.63
Cl: 0.3750 0.2500 0.6250  4 Ag 2.63
Cl: 0.3750 0.6250 0.7500  4 Ag 2.63
Cl: 0.5000 0.0000 0.0000  6 Ag 2.75
Cl: 0.5000 0.0000 0.5000  6 Ag 2.75
Cl: 0.5000 0.5000 0.0000  6 Ag 2.75
Cl: 0.5000 0.5000 0.5000  6 Ag 2.75
Cl: 0.6250 0.3750 0.2500  4 Ag 2.63
Cl: 0.6250 0.7500 0.3750  4 Ag 2.63
Cl: 0.7500 0.3750 0.6250  4 Ag 2.63
Cl: 0.7500 0.8750 0.1250  4 Ag 2.63
Cl: 0.8750 0.1250 0.7500  4 Ag 2.63
Cl: 0.8750 0.2500 0.1250  4 Ag 2.63

- DOS(E_F): 0.066 states/eV per atom
- Uncorrected energy: -2.924 eV per atom
- Raw formation energy: -0.132 eV per atom
- Symmetry: Ia-3d (230)

---

Density functional theory data (PBE-GGA) for a relaxed Ag4SCl2 crystal.

Cell lengths 6.6525, 4.1943, 6.8069 Å; angles 90.00, 117.87, 90.00 degrees
Closest atoms and distances in Å follow each position.
Fractional positions:
Ag: 0.0703 0.0000 0.2448  2 S 2.58, 2 Cl 2.61-2.88
Ag: 0.4203 0.5000 0.1861  1 S 2.47, 2 Cl 2.60
Ag: 0.5797 0.5000 0.8139  1 S 2.47, 2 Cl 2.60
Ag: 0.9297 0.0000 0.7552  2 S 2.58, 2 Cl 2.61-2.88
S: 0.0000 0.5000 0.0000  6 Ag 2.47-2.58
Cl: 0.3188 0.0000 0.6758  4 Ag 2.60-2.88
Cl: 0.6812 0.0000 0.3242  4 Ag 2.60-2.88

- DOS(E_F): 0.071 states/eV per atom
- Excess energy over the best structure of this formula in the dataset: 30 meV/atom
- Uncorrected energy: -2.964 eV per atom
- Raw formation energy: -0.218 eV per atom
- Symmetry: P2/m (10)

---

Density functional theory data (PBE-GGA) for a relaxed AgS3Cl crystal.

Cell lengths 4.7759, 5.7033, 11.0183 Å; angles 100.93, 101.83, 90.78 degrees
Closest atoms and distances in Å follow each position.
Fractional positions:
Ag: 0.2237 0.2184 0.4438  1 S 2.54, 3 Cl 2.64-2.76
Ag: 0.7763 0.7816 0.5562  1 S 2.54, 3 Cl 2.64-2.76
S: 0.0668 0.2411 0.2115  2 S 2.10-2.19
S: 0.3088 0.9810 0.9016  2 S 2.07-2.19
S: 0.3473 0.6295 0.8184  2 S 2.07-2.10
S: 0.6527 0.3705 0.1816  2 S 2.07-2.10
S: 0.6912 0.0190 0.0984  2 S 2.07-2.19
S: 0.9332 0.7589 0.7885  2 S 2.10-2.19
Cl: 0.2286 0.7355 0.4441  4 Ag 2.64-2.95
Cl: 0.7714 0.2645 0.5559  4 Ag 2.64-2.95

- Excess energy over the best structure of this formula in the dataset: 0 meV/atom
- Uncorrected energy: -3.328 eV per atom
- Raw formation energy: 0.088 eV per atom
- Symmetry: P-1 (2)

---

Density functional theory data (PBE-GGA) for a relaxed AgS2Cl8 crystal.

Cell lengths 7.5042, 7.5042, 7.5303 Å; angles 102.87, 102.87, 55.84 degrees
Closest atoms and distances in Å follow each position.
Fractional positions:
Ag: 0.0000 0.0000 0.0000  4 Cl 2.33
S: 0.1883 0.1883 0.6105  2 Cl 1.99-2.02
S: 0.8117 0.8117 0.3895  2 Cl 1.99-2.02
Cl: 0.2009 0.7393 0.2035  1 Ag 2.33
Cl: 0.2607 0.7991 0.7965  1 Ag 2.33
Cl: 0.2796 0.2796 0.4329  1 S 2.02
Cl: 0.2910 0.2910 0.8541  1 S 1.99
Cl: 0.7090 0.7090 0.1459  1 S 1.99
Cl: 0.7204 0.7204 0.5671  1 S 2.02
Cl: 0.7393 0.2009 0.2035  1 Ag 2.33
Cl: 0.7991 0.2607 0.7965  1 Ag 2.33

- DOS(E_F): 0.293 states/eV per atom
- Excess energy over the best structure of this formula in the dataset: 0 meV/atom
- Uncorrected energy: -2.486 eV per atom
- Raw formation energy: -0.133 eV per atom
- Symmetry: C2/m (12)